1.
Below is NdYInAu after structural relaxation, with properties calculated at the GGA-PBE level.

Output
relative energy among the computed polymorphs: 0.0000 eV per atom
calculated formation energy: -662 meV/atom
magnetic moment: 0.00 μB/f.u.

abc: 3.662 3.662 7.848
angles: 90.00 90.00 90.00
Space group P4mm (No. 99)
Inequivalent atoms, fractional coordinates:
Nd 0.000 0.000 0.000
Y 0.000 0.000 0.536
In 0.500 0.500 0.275
Au 0.500 0.500 0.742


2.
Below is NdZn2InAu5 after structural relaxation, with properties calculated at the GGA-PBE level.

Output
calculated formation energy: -296 meV/atom
magnetic moment: 0.00 μB/f.u.

abc: 4.910 4.910 7.830
angles: 90.00 90.00 90.00
Space group P4/mmm (No. 123)
Inequivalent atoms, fractional coordinates:
Nd 0.000 0.000 0.000
Zn 0.500 0.500 0.346
In 0.000 0.000 0.500
Au 0.000 0.500 0.242
Au 0.500 0.500 0.000


3.
Below is Nd2Zn4InAu3 after structural relaxation, with properties calculated at the GGA-PBE level.

Output
calculated formation energy: -492 meV/atom
magnetic moment: 0.00 μB/f.u.

abc: 4.255 4.255 11.619
angles: 90.00 90.00 90.00
Space group P-4m2 (No. 115)
Inequivalent atoms, fractional coordinates:
Nd 0.000 0.500 0.243
Zn 0.000 0.000 0.000
Zn 0.000 0.500 0.645
Zn 0.500 0.500 0.000
In 0.000 0.000 0.500
Au 0.000 0.500 0.863
Au 0.500 0.500 0.500